DFT (SCAN) results for a crystal of Tl2CoTc relaxed with PBEsol.

a = 2.9336 Å, b = 2.9336 Å, c = 8.4609 Å
α = 90.00°, β = 90.00°, γ = 90.00°
Positions (direct):
Co  0.0000  0.0000  0.5432
Tc  0.5000  0.5000  0.6971
Tl  0.0000  0.0000  0.9566
Tl  0.5000  0.5000  0.3032

Computed properties:
* calculated formation energy: 537 meV per atom
* N(E_F): 2.9 states/eV/cell
* excess energy over the best structure of this formula in the dataset: 0.0 meV per atom